Below is a geometry-optimized KNiF2 structure, with properties calculated at the GGA+U level.

a = 7.2391 Å, b = 7.2391 Å, c = 7.2391 Å
α = 27.61°, β = 27.61°, γ = 27.61°
Fractional coordinates of all 4 atoms:
F1 0.8783 0.8783 0.8783
K1 0.0000 0.0000 0.0000
Ni1 0.5000 0.5000 0.5000
F2 0.1217 0.1217 0.1217

Values from the calculation:
**Total moment**: 1.6 μB per cell
**Mass density**: 3.135 Mg/m³
**Space-group type**: R-3m (166)
**E above lowest polymorph**: 1.41 eV/f.u.
**DOS at the Fermi energy**: 4.6 states/eV/f.u.